# BMo

BMo after structural relaxation (PBE, OQMD via LeMat-Bulk).

Geometry as CIF:
```
data_BMo
_symmetry_space_group_name_H-M 'P 1'
_symmetry_Int_Tables_number 1
_cell_length_a 3.416
_cell_length_b 3.416
_cell_length_c 3.416
_cell_angle_alpha 60.00
_cell_angle_beta 60.00
_cell_angle_gamma 60.00
loop_
_symmetry_equiv_pos_as_xyz
'x,y,z'
loop_
_atom_site_label
_atom_site_fract_x
_atom_site_fract_y
_atom_site_fract_z
B1 0.000 0.000 0.000
Mo1 0.250 0.250 0.250
```

Summary:
- electronic total energy (eV/atom) = -7.94
- polymorph energy (0 for the lowest one) (eV/f.u.) = 2.65
- symmetry = F-43m